(1)
Computed, not measured: an optimized crystal structure of BaSn at the PBE level of DFT.

Unit cell a=9.8922 b=9.8922 c=9.8922 alpha=90.00 beta=90.00 gamma=90.00
Closest atoms and distances in Å follow each position.
Element x y z (fractional)
Ba 0.5000 0.2500 0.0000  4 Sn 3.50
Sn 0.2500 0.5000 0.0000  4 Ba 3.50
Sn 0.0000 0.2500 0.5000  4 Ba 3.50
Ba 0.5000 0.7500 0.0000  4 Sn 3.50
Sn 0.7500 0.5000 0.0000  4 Ba 3.50
Ba 0.0000 0.5000 0.7500  4 Sn 3.50
Sn 0.0000 0.7500 0.5000  4 Ba 3.50
Ba 0.2500 0.0000 0.5000  4 Sn 3.50
Ba 0.0000 0.5000 0.2500  4 Sn 3.50
Sn 0.5000 0.0000 0.7500  4 Ba 3.50
Ba 0.7500 0.0000 0.5000  4 Sn 3.50
Sn 0.5000 0.0000 0.2500  4 Ba 3.50

- Crystal system: cubic
- Space-group type: Pm-3n (223)
- Total DFT energy (no corrections): -2.718 eV per atom

(2)
Computed, not measured: an optimized crystal structure of LiTeRu2 at the PBE level of DFT.

Unit cell a=7.9941 b=7.9941 c=7.9941 alpha=22.86 beta=22.86 gamma=22.86
Closest atoms and distances in Å follow each position.
Element x y z (fractional)
Te 0.2500 0.2500 0.2500  6 Ru 2.61
Ru 0.9962 0.9962 0.9962  3 Te 2.61, 3 Li 2.74
Li 0.7500 0.7500 0.7500  6 Ru 2.74
Ru 0.5038 0.5038 0.5038  3 Te 2.61, 3 Li 2.74

- Crystal system: trigonal
- Space-group type: R-3m (166)
- Total DFT energy (no corrections): -5.408 eV per atom

(3)
Computed, not measured: an optimized crystal structure of NdY2ErTm at the PBE level of DFT.

Unit cell a=7.2295 b=8.3942 c=7.0931 alpha=126.28 beta=90.00 gamma=90.00
Closest atoms and distances in Å follow each position.
Element x y z (fractional)
Y 0.5000 0.6915 0.0000  2 Er 3.16, 1 Y 3.22, 2 Tm 3.52
Nd 0.7500 0.2700 0.5401  1 Er 3.08
Tm 0.7500 0.7230 0.4460  1 Er 3.17, 4 Y 3.52
Er 0.7500 0.0004 0.0007  1 Nd 3.08, 4 Y 3.16, 1 Tm 3.17
Y 0.0000 0.3085 0.0000  2 Er 3.16, 1 Y 3.22, 2 Tm 3.52
Y 0.5000 0.3085 0.0000  2 Er 3.16, 1 Y 3.22, 2 Tm 3.52
Y 0.0000 0.6915 0.0000  2 Er 3.16, 1 Y 3.22, 2 Tm 3.52
Tm 0.2500 0.2770 0.5540  1 Er 3.17, 4 Y 3.52
Nd 0.2500 0.7300 0.4599  1 Er 3.08
Er 0.2500 0.9996 0.9993  1 Nd 3.08, 4 Y 3.16, 1 Tm 3.17

- Crystal system: orthorhombic
- Space-group type: Cmcm (63)
- Total DFT energy (no corrections): -4.958 eV per atom

(4)
Computed, not measured: an optimized crystal structure of Sm3InIr8 at the PBE level of DFT.

Unit cell a=5.3795 b=5.3795 c=9.3311 alpha=73.25 beta=73.25 gamma=60.00
Closest atoms and distances in Å follow each position.
Element x y z (fractional)
In 0.8734 0.8734 0.3798  12 Ir 3.11-3.18, 4 Sm 3.25-3.26
Ir 0.9375 0.4388 0.6862  6 Ir 2.68-2.70
Ir 0.4373 0.9375 0.1880  6 Ir 2.68-2.71
Ir 0.4388 0.9375 0.6862  6 Ir 2.68-2.70
Ir 0.4373 0.4373 0.1880  6 Ir 2.68-2.71
Ir 0.1879 0.1879 0.4363  6 Ir 2.68-2.69
Ir 0.6879 0.6879 0.9363  6 Ir 2.69-2.71
Sm 0.9965 0.9965 0.0106  12 Ir 3.11-3.25, 1 In 3.25, 3 Sm 3.33
Sm 0.5029 0.5029 0.4913  12 Ir 3.09-3.19, 3 In 3.26, 1 Sm 3.36
Ir 0.9375 0.9375 0.6862  6 Ir 2.68-2.70
Ir 0.9375 0.4373 0.1880  6 Ir 2.68-2.71
Sm 0.3756 0.3756 0.8732  12 Ir 3.15-3.18, 4 Sm 3.33-3.36

- Crystal system: trigonal
- Space-group type: R3m (160)
- Total DFT energy (no corrections): -7.865 eV per atom

(5)
Computed, not measured: an optimized crystal structure of Cs2CuBiF6 at the PBE level of DFT.

Unit cell a=6.9662 b=6.9663 c=8.4846 alpha=90.00 beta=90.00 gamma=90.00
Closest atoms and distances in Å follow each position.
Element x y z (fractional)
F 0.5000 0.2502 0.7265  1 Cu 1.92
F 0.7698 0.9803 0.5000  1 Bi 2.27
Cs 0.5000 0.7500 0.7500  12 F 3.26-3.49
F 0.0000 0.7498 0.7735  1 Cu 1.92
F 0.5000 0.2502 0.2735  1 Cu 1.92
Cu 0.5000 0.2500 0.5000  2 F 1.92
F 0.0000 0.7498 0.2265  1 Cu 1.92
F 0.7303 0.4801 0.0000  1 Bi 2.27
F 0.7302 0.0197 0.0000  1 Bi 2.27
F 0.2302 0.9803 0.5000  1 Bi 2.27
F 0.2303 0.5199 0.5000  1 Bi 2.27
F 0.7697 0.5199 0.5000  1 Bi 2.27
F 0.2697 0.4801 0.0000  1 Bi 2.27
Cu 0.0000 0.7500 0.0000  2 F 1.92
Bi 0.5000 0.2500 0.0000  6 F 2.27-2.32
Cs 0.0000 0.2500 0.7500  12 F 3.26-3.49
Bi 0.0000 0.7500 0.5000  6 F 2.27-2.32
F 0.2698 0.0197 0.0000  1 Bi 2.27
Cs 0.0000 0.2500 0.2500  12 F 3.26-3.49
Cs 0.5000 0.7500 0.2500  12 F 3.26-3.49

- Crystal system: tetragonal
- Space-group type: I4/mmm (139)
- E above lowest polymorph: 0.000 eV/f.u.

(6)
Computed, not measured: an optimized crystal structure of K2ZnFeRe at the PBE level of DFT.

Unit cell a=6.3246 b=4.3385 c=6.3246 alpha=90.00 beta=90.00 gamma=90.00
Closest atoms and distances in Å follow each position.
Element x y z (fractional)
Fe 0.0000 0.0000 0.0000  2 Re 2.17
Re 0.0000 0.5000 0.0000  2 Fe 2.17
K 0.0000 0.0000 0.5000  2 Fe 3.16
K 0.5000 0.0000 0.0000  2 Fe 3.16
Zn 0.5000 0.5000 0.5000  8 K 3.83

- Crystal system: tetragonal
- Space-group type: P4/mmm (123)
- Total DFT energy (no corrections): -3.499 eV per atom

(7)
Computed, not measured: an optimized crystal structure of HfZnPd14 at the PBE level of DFT.

Unit cell a=5.6372 b=5.6372 c=7.8120 alpha=90.00 beta=90.00 gamma=90.00
Closest atoms and distances in Å follow each position.
Element x y z (fractional)
Pd 0.8750 0.3750 0.0000  12 Pd 2.81-2.82
Pd 0.6246 0.1254 0.2537  1 Zn 2.77, 10 Pd 2.77-2.82, 1 Hf 2.77
Pd 0.8750 0.8750 0.0000  12 Pd 2.81-2.82
Pd 0.1254 0.6246 0.2537  1 Zn 2.77, 10 Pd 2.77-2.82, 1 Hf 2.77
Pd 0.1255 0.1255 0.7463  1 Zn 2.77, 10 Pd 2.77-2.82, 1 Hf 2.77
Pd 0.1255 0.1255 0.2537  1 Zn 2.77, 10 Pd 2.77-2.82, 1 Hf 2.77
Hf 0.8750 0.8750 0.5000  12 Pd 2.77-2.82
Pd 0.1254 0.6246 0.7463  1 Zn 2.77, 10 Pd 2.77-2.82, 1 Hf 2.77
Pd 0.6245 0.6245 0.2537  1 Zn 2.77, 10 Pd 2.77-2.82, 1 Hf 2.77
Zn 0.3750 0.3750 0.5000  12 Pd 2.77-2.82
Pd 0.6245 0.6245 0.7463  1 Zn 2.77, 10 Pd 2.77-2.82, 1 Hf 2.77
Pd 0.3750 0.3750 0.0000  12 Pd 2.81-2.82
Pd 0.3750 0.8750 0.0000  12 Pd 2.81-2.82
Pd 0.8750 0.3750 0.5000  8 Pd 2.77, 2 Zn 2.82, 2 Hf 2.82
Pd 0.3750 0.8750 0.5000  8 Pd 2.77, 2 Zn 2.82, 2 Hf 2.82
Pd 0.6246 0.1254 0.7463  1 Zn 2.77, 10 Pd 2.77-2.82, 1 Hf 2.77

- Crystal system: tetragonal
- Space-group type: P4/mmm (123)
- Total DFT energy (no corrections): -5.546 eV per atom

(8)
Computed, not measured: an optimized crystal structure of RbCo2Pt at the PBE level of DFT.

Unit cell a=4.9121 b=4.9121 c=9.1222 alpha=74.38 beta=74.38 gamma=90.00
Closest atoms and distances in Å follow each position.
Element x y z (fractional)
Co 0.8750 0.1256 0.7500  2 Pt 2.44, 2 Co 2.46
Pt 0.7500 0.2500 0.5000  4 Co 2.44
Co 0.8756 0.1250 0.2500  2 Pt 2.44, 2 Co 2.46
Rb 0.2500 0.7500 0.5000  8 Co 3.46, 4 Pt 3.47
Pt 0.0000 0.0000 0.0000  4 Co 2.44
Rb 0.5000 0.5000 0.0000  8 Co 3.46, 4 Pt 3.47
Co 0.3750 0.1244 0.7500  2 Pt 2.44, 2 Co 2.46
Co 0.8744 0.6250 0.2500  2 Pt 2.44, 2 Co 2.46

- Crystal system: tetragonal
- Space-group type: I4_1/amd (141)
- E above lowest polymorph: 0.000 eV/f.u.

(9)
Computed, not measured: an optimized crystal structure of Sm8AuSe4S3 at the PBE level of DFT.

Unit cell a=8.2232 b=8.2964 c=8.2235 alpha=119.71 beta=120.00 gamma=90.00
Closest atoms and distances in Å follow each position.
Element x y z (fractional)
Au 0.0000 0.5000 0.0000  6 Sm 2.93
S 0.5000 0.5000 0.5000  6 Sm 2.84-2.86
Sm 0.2572 0.2715 0.5143  3 S 2.84, 3 Se 3.01
Sm 0.2505 0.7396 0.5009  2 S 2.86, 3 Se 2.92-2.99, 1 Au 2.93
Sm 0.2613 0.2604 0.0108  2 S 2.86, 3 Se 2.92-2.98, 1 Au 2.93
Sm 0.7495 0.2604 0.4991  2 S 2.86, 3 Se 2.92-2.99, 1 Au 2.93
S 0.0000 0.5000 0.5000  6 Sm 2.84-2.86
Se 0.0000 0.0000 0.5000  6 Sm 2.98-3.01
Sm 0.7495 0.2604 0.0108  2 S 2.86, 3 Se 2.92-2.98, 1 Au 2.93
Se 0.5000 0.0000 0.0000  6 Sm 2.92
Sm 0.7387 0.7396 0.9892  2 S 2.86, 3 Se 2.92-2.98, 1 Au 2.93
Se 0.0000 0.0000 0.0000  6 Sm 2.98-3.01
Se 0.5000 0.0000 0.5000  6 Sm 2.98-3.01
Sm 0.7428 0.7285 0.4857  3 S 2.84, 3 Se 3.01
Sm 0.2505 0.7396 0.9892  2 S 2.86, 3 Se 2.92-2.98, 1 Au 2.93
S 0.5000 0.5000 0.0000  6 Sm 2.84-2.86

- Crystal system: trigonal
- Space-group type: R-3m (166)
- Total DFT energy (no corrections): -5.981 eV per atom

(10)
Computed, not measured: an optimized crystal structure of PmNdCO at the PBE level of DFT.

Unit cell a=3.6835 b=3.6835 c=6.3370 alpha=73.10 beta=73.10 gamma=60.00
Closest atoms and distances in Å follow each position.
Element x y z (fractional)
O 0.1955 0.1955 0.4136  3 Pm 2.60, 3 Nd 2.63
C 0.6935 0.6935 0.9196  3 Pm 2.58, 3 Nd 2.59
Nd 0.4422 0.4422 0.6734  3 C 2.59, 3 O 2.63
Pm 0.9453 0.9453 0.1642  3 C 2.58, 3 O 2.60

- Crystal system: trigonal
- Space-group type: R3m (160)
- Total DFT energy (no corrections): -7.414 eV per atom

(11)
Computed, not measured: an optimized crystal structure of Pr6SmDy3 at the PBE level of DFT.

Unit cell a=6.5235 b=11.8763 c=11.8763 alpha=130.74 beta=90.00 gamma=90.00
Closest atoms and distances in Å follow each position.
Element x y z (fractional)
Pr 0.7965 0.0146 0.9854  2 Pr 3.32, 1 Sm 3.35, 4 Dy 3.55-3.69
Pr 0.5752 0.2610 0.3808  3 Dy 3.42-3.63, 4 Pr 3.55-3.82, 1 Sm 3.81
Dy 0.9887 0.7059 0.9591  2 Dy 3.32-3.51, 5 Pr 3.35-3.69, 1 Sm 3.57
Pr 0.5752 0.6192 0.7390  3 Dy 3.42-3.63, 4 Pr 3.55-3.82, 1 Sm 3.81
Pr 0.8244 0.8926 0.4555  2 Dy 3.35-3.51, 3 Pr 3.45-3.67, 1 Sm 3.72
Sm 0.5137 0.8448 0.1552  4 Pr 3.35-3.72, 2 Dy 3.57
Dy 0.4887 0.2941 0.0409  2 Dy 3.32-3.51, 5 Pr 3.35-3.69, 1 Sm 3.57
Sm 0.0136 0.1552 0.8448  4 Pr 3.35-3.72, 2 Dy 3.57
Pr 0.2965 0.9854 0.0146  2 Pr 3.32, 1 Sm 3.35, 4 Dy 3.55-3.69
Pr 0.8244 0.5445 0.1074  2 Dy 3.35-3.51, 3 Pr 3.45-3.67, 1 Sm 3.72
Pr 0.8044 0.2996 0.7004  1 Dy 3.21, 1 Sm 3.40
Dy 0.4887 0.9591 0.7059  2 Dy 3.32-3.51, 5 Pr 3.35-3.69, 1 Sm 3.57
Dy 0.5942 0.5805 0.4195  3 Pr 3.21-3.51, 2 Dy 3.51
Pr 0.3244 0.1074 0.5445  2 Dy 3.35-3.51, 3 Pr 3.45-3.67, 1 Sm 3.72
Dy 0.9887 0.0409 0.2941  2 Dy 3.32-3.51, 5 Pr 3.35-3.69, 1 Sm 3.57
Pr 0.0752 0.3808 0.2610  3 Dy 3.42-3.63, 4 Pr 3.55-3.82, 1 Sm 3.81
Dy 0.0942 0.4195 0.5805  3 Pr 3.21-3.51, 2 Dy 3.51
Pr 0.3044 0.7004 0.2996  1 Dy 3.21, 1 Sm 3.40
Pr 0.3244 0.4555 0.8926  2 Dy 3.35-3.51, 3 Pr 3.45-3.67, 1 Sm 3.72
Pr 0.0752 0.7390 0.6192  3 Dy 3.42-3.63, 4 Pr 3.55-3.82, 1 Sm 3.81

- Crystal system: orthorhombic
- Space-group type: Cmc2_1 (36)
- E above lowest polymorph: 0.000 eV/f.u.

(12)
Computed, not measured: an optimized crystal structure of SrInGeAu at the PBE level of DFT.

Unit cell a=5.1662 b=5.1662 c=5.1662 alpha=60.00 beta=60.00 gamma=60.00
Closest atoms and distances in Å follow each position.
Element x y z (fractional)
Ge 0.7500 0.7500 0.7500  4 In 3.16, 4 Sr 3.16
In 0.5000 0.5000 0.5000  4 Ge 3.16, 4 Au 3.16
Au 0.2500 0.2500 0.2500  4 In 3.16, 4 Sr 3.16
Sr 0.0000 0.0000 0.0000  4 Ge 3.16, 4 Au 3.16

- Crystal system: cubic
- Space-group type: F-43m (216)
- Total DFT energy (no corrections): -3.440 eV per atom

(13)
Computed, not measured: an optimized crystal structure of PaNiPd at the PBE level of DFT.

Unit cell a=3.2221 b=4.4155 c=4.4155 alpha=120.00 beta=90.00 gamma=90.00
Closest atoms and distances in Å follow each position.
Element x y z (fractional)
Pa 0.6667 0.3333 0.6667  6 Pd 3.02, 6 Ni 3.02, 2 Pa 3.22
Ni 0.1667 0.0000 0.0000  3 Pd 2.55
Pd 0.1666 0.6667 0.3333  3 Ni 2.55

- Crystal system: hexagonal
- Space-group type: P-6m2 (187)
- E above lowest polymorph: 0.399 eV/f.u.

(14)
Computed, not measured: an optimized crystal structure of Cs2Ni3Te4 at the PBE level of DFT.

Unit cell a=6.6635 b=6.6879 c=15.7038 alpha=83.93 beta=77.75 gamma=60.12
Closest atoms and distances in Å follow each position.
Element x y z (fractional)
Cs 0.3235 0.5000 0.3531  8 Te 3.89-4.25, 6 Ni 4.02-4.04
Te 0.8607 0.1670 0.6060  3 Ni 2.52
Cs 0.1765 0.5000 0.6469  8 Te 3.89-4.25, 6 Ni 4.02-4.04
Te 0.7777 0.3330 0.1060  3 Ni 2.52
Te 0.5333 0.8330 0.6060  3 Ni 2.52
Te 0.8893 0.3330 0.8940  3 Ni 2.52
Te 0.6337 0.8330 0.3940  3 Ni 2.52
Ni 0.2494 0.0000 0.5012  4 Te 2.52
Te 0.9723 0.1670 0.3940  3 Ni 2.52
Te 0.2167 0.6670 0.8940  3 Ni 2.52
Ni 0.0000 0.0000 0.0000  4 Te 2.52
Ni 0.5006 0.5000 0.9988  4 Te 2.52
Ni 0.9994 0.5000 0.0012  4 Te 2.52
Cs 0.4265 0.0000 0.1469  8 Te 3.89-4.25, 6 Ni 4.02-4.04
Cs 0.5735 0.0000 0.8531  8 Te 3.89-4.25, 6 Ni 4.02-4.04
Te 0.1163 0.6670 0.1060  3 Ni 2.52
Ni 0.7506 0.0000 0.4988  4 Te 2.52
Ni 0.7500 0.5000 0.5000  4 Te 2.52

- Crystal system: orthorhombic
- Space-group type: Fddd (70)
- Total DFT energy (no corrections): -3.991 eV per atom

(15)
Computed, not measured: an optimized crystal structure of TaMnOsAu2 at the PBE level of DFT.

Unit cell a=4.6908 b=4.3379 c=4.6908 alpha=90.00 beta=90.00 gamma=90.00
Closest atoms and distances in Å follow each position.
Element x y z (fractional)
Ta 0.0000 0.5000 0.0000  2 Mn 2.17
Au 0.5000 0.0000 0.0000  2 Mn 2.35
Mn 0.0000 0.0000 0.0000  2 Ta 2.17, 4 Au 2.35
Au 0.0000 0.0000 0.5000  2 Mn 2.35
Os 0.5000 0.5000 0.5000  8 Au 3.19, 4 Ta 3.32

- Crystal system: tetragonal
- Space-group type: P4/mmm (123)
- Total DFT energy (no corrections): -6.203 eV per atom

(16)
Computed, not measured: an optimized crystal structure of BaNbTl2Se at the PBE level of DFT.

Unit cell a=5.5977 b=5.0441 c=5.5977 alpha=90.00 beta=90.00 gamma=90.00
Closest atoms and distances in Å follow each position.
Element x y z (fractional)
Tl 0.0000 0.0000 0.5000  2 Nb 2.80
Tl 0.5000 0.0000 0.0000  2 Nb 2.80
Nb 0.0000 0.0000 0.0000  2 Se 2.52, 4 Tl 2.80
Se 0.0000 0.5000 0.0000  2 Nb 2.52
Ba 0.5000 0.5000 0.5000  8 Tl 3.77, 4 Se 3.96

- Crystal system: tetragonal
- Space-group type: P4/mmm (123)
- Total DFT energy (no corrections): -4.296 eV per atom

Result set for DOS at the Fermi energy: 6.8; 3.8; 13.4; 15.2; 0.0; 5.8; 25.0; 15.6; 6.9; 1.2; 31.3; 1.0; 5.5; 0.2; 5.3; 2.9 states/eV/cell, one per record in the order listed.